[1]
Material: CsNa2CaBi
Method: DFT, PBE
State: optimized geometry

Calculated values
Magnetization (μB/f.u.): 0.08
ΔE_f (eV per atom): 0.600

CIF file:
```
data_CsNa2CaBi
_symmetry_space_group_name_H-M 'P 1'
_symmetry_Int_Tables_number 1
_symmetry_space_group_name_Hall 'P 1'
_cell_length_a 6.257
_cell_length_b 7.058
_cell_length_c 6.257
_cell_angle_alpha 90.00
_cell_angle_beta 90.00
_cell_angle_gamma 90.00
loop_
_atom_site_label
_atom_site_type_symbol
_atom_site_fract_x
_atom_site_fract_y
_atom_site_fract_z
_atom_site_occupancy
Cs1 Cs 0.000 0.500 0.000 1
Na1 Na 0.000 0.000 0.500 1
Na2 Na 0.500 0.000 0.000 1
Bi1 Bi 0.500 0.500 0.500 1
Ca1 Ca 0.000 0.000 0.000 1
```


[2]
Material: CsCaNbBi2
Method: DFT, PBE
State: optimized geometry

Calculated values
Magnetization (μB/f.u.): 4.07
ΔE_f (eV per atom): 1.763

CIF file:
```
data_CsCaNbBi2
_symmetry_space_group_name_H-M 'P 1'
_symmetry_Int_Tables_number 1
_symmetry_space_group_name_Hall 'P 1'
_cell_length_a 6.212
_cell_length_b 5.759
_cell_length_c 6.212
_cell_angle_alpha 90.00
_cell_angle_beta 90.00
_cell_angle_gamma 90.00
loop_
_atom_site_label
_atom_site_type_symbol
_atom_site_fract_x
_atom_site_fract_y
_atom_site_fract_z
_atom_site_occupancy
Ca1 Ca 0.000 0.500 0.000 1
Nb1 Nb 0.500 0.500 0.500 1
Bi1 Bi 0.500 0.000 0.000 1
Bi2 Bi 0.000 0.000 0.500 1
Cs1 Cs 0.000 0.000 0.000 1
```